Record 1
# MnIrS, optimized geometry, DFT GGA-PBE
data_MnIrS
_chemical_formula_sum 'Mn2 Ir2 S2'
_cell_length_a 6.399
_cell_length_b 2.883
_cell_length_c 4.806
_cell_angle_alpha 90.00
_cell_angle_beta 113.56
_cell_angle_gamma 90.00
_symmetry_space_group_name_H-M 'C 1 m 1'
_symmetry_Int_Tables_number 8
loop_
_symmetry_equiv_pos_as_xyz
'x,y,z'
'x,-y,z'
'x+1/2,y+1/2,z'
'x+1/2,-y+1/2,z'
loop_
_atom_site_label
_atom_site_type_symbol
_atom_site_fract_x
_atom_site_fract_y
_atom_site_fract_z
Mn1 Mn 0.000 0.000 0.000
Ir1 Ir 0.310 0.500 0.400
S1 S 0.125 0.500 0.766
# N(E_F) = 5.6 states/eV/cell
# Uncorrected energy = -7.2276 eV per atom
# Formation energy from raw total energies = 0.1584 eV/atom
# Energy above the most stable polymorph in this dataset = 434 meV per atom
# Crystal system = monoclinic
# Density = 11.4 Mg/m³
# Total moment = 0.00 μB per formula unit

Record 2
# MnIrS, optimized geometry, DFT GGA-PBE
data_MnIrS
_chemical_formula_sum 'Mn3 Ir3 S3'
_cell_length_a 3.6915
_cell_length_b 3.6915
_cell_length_c 10.4946
_cell_angle_alpha 90.00
_cell_angle_beta 90.00
_cell_angle_gamma 120.00
_symmetry_space_group_name_H-M 'R 3 m'
_symmetry_Int_Tables_number 160
_symmetry_space_group_name_Hall 'R 3 -2"'
loop_
_atom_site_label
_atom_site_type_symbol
_atom_site_fract_x
_atom_site_fract_y
_atom_site_fract_z
Mn1 Mn 0.0000 0.0000 0.0000
Ir1 Ir 0.0000 0.0000 0.5034
S1 S 0.0000 0.0000 0.7269
# N(E_F) = 7.3 states/eV/cell
# Uncorrected energy = -7.2142 eV per atom
# Formation energy from raw total energies = 0.1718 eV/atom
# Energy above the most stable polymorph in this dataset = 447 meV per atom
# Crystal system = trigonal
# Density = 11.2 Mg/m³
# Total moment = 1.40 μB per formula unit

Record 3
# MnIrS, optimized geometry, DFT GGA-PBE
data_MnIrS
_chemical_formula_sum 'Mn1 Ir1 S1'
_cell_length_a 2.846
_cell_length_b 3.442
_cell_length_c 4.650
_cell_angle_alpha 90.00
_cell_angle_beta 90.00
_cell_angle_gamma 90.00
_symmetry_space_group_name_H-M 'P m m 2'
_symmetry_Int_Tables_number 25
loop_
_symmetry_equiv_pos_as_xyz
'x,y,z'
'-x,-y,z'
'-x,y,z'
'x,-y,z'
loop_
_atom_site_label
_atom_site_type_symbol
_atom_site_fract_x
_atom_site_fract_y
_atom_site_fract_z
Mn1 Mn 0.000 0.000 0.000
Ir1 Ir 0.500 0.500 0.706
S1 S 0.500 0.000 0.366
# N(E_F) = 2.5 states/eV/cell
# Uncorrected energy = -7.4292 eV per atom
# Formation energy from raw total energies = -0.0432 eV/atom
# Energy above the most stable polymorph in this dataset = 232 meV per atom
# Crystal system = orthorhombic
# Density = 10.2 Mg/m³
# Total moment = 2.18 μB per formula unit